[1]
Here is an optimized crystal structure of Ca2TmTlCl8 from Alexandria. Energies are from GGA-PBE. Values from VASP.

Geometry as Quantum ESPRESSO input:
```
&SYSTEM
  ibrav = 0, nat = 12, ntyp = 4
/
ATOMIC_SPECIES
Cl 35.45 Cl.upf
Ca 40.08 Ca.upf
Tm 168.93 Tm.upf
Tl 204.38 Tl.upf
CELL_PARAMETERS angstrom
-4.037 3.948 -3.459
-0.921 -4.607 -4.299
-6.795 -2.926 4.589
ATOMIC_POSITIONS crystal
Cl 0.628 0.721 0.500
Cl 0.372 0.279 0.500
Cl 0.684 0.736 0.000
Cl 0.316 0.264 0.000
Cl 0.172 0.767 0.208
Cl 0.828 0.233 0.208
Cl 0.828 0.233 0.792
Cl 0.172 0.767 0.792
Ca 0.500 0.500 0.252
Ca 0.500 0.500 0.748
Tm 0.000 0.000 0.000
Tl 0.000 0.000 0.500
```

## Properties
Final energy (eV/atom): -4.24
Symmetry: P2/m
Raw formation energy (meV/atom): -2101
DOS at the Fermi energy (states/eV/f.u.): 0.0



[2]
Here is an optimized crystal structure of CaTmTlCl6 from Alexandria. Energies are from GGA-PBE. Values from VASP.

Geometry as Quantum ESPRESSO input:
```
&SYSTEM
  ibrav = 0, nat = 18, ntyp = 4
/
ATOMIC_SPECIES
Cl 35.45 Cl.upf
Tm 168.93 Tm.upf
Ca 40.08 Ca.upf
Tl 204.38 Tl.upf
CELL_PARAMETERS angstrom
7.070 0.000 0.000
-3.535 6.123 0.000
0.000 0.000 13.835
ATOMIC_POSITIONS crystal
Cl 0.620 0.985 0.858
Cl 0.365 0.380 0.858
Cl 0.015 0.635 0.858
Cl 0.015 0.380 0.642
Cl 0.380 0.365 0.358
Cl 0.365 0.985 0.642
Cl 0.635 0.015 0.358
Cl 0.985 0.620 0.358
Cl 0.620 0.635 0.642
Cl 0.380 0.015 0.142
Cl 0.635 0.620 0.142
Cl 0.985 0.365 0.142
Tm 0.333 0.667 0.750
Tm 0.667 0.333 0.250
Ca 0.333 0.667 0.250
Ca 0.667 0.333 0.750
Tl 0.000 0.000 0.500
Tl 0.000 0.000 0.000
```

## Properties
Final energy (eV/atom): -4.29
Symmetry: P-31c
Raw formation energy (meV/atom): -2073
DOS at the Fermi energy (states/eV/f.u.): 0.0